No. 1
An optimized crystal structure of AlHgPO. Source: OQMD, functional PBE.

a b c (Å): 4.0058 4.0058 9.0694
angles (deg): 90.00 90.00 90.00
Space group P4/nmm (No. 129, origin choice 2)
Inequivalent atoms, fractional coordinates:
Al  0.2500  0.2500  0.0614 x2
Hg  0.2500  0.7500  0.5000 x2
P  0.2500  0.2500  0.3144 x2
O  0.2500  0.7500  0.0000 x2

Calculated density ... 6.265 Mg/m³
Distance to the lowest polymorph of the same formula ... 242 meV/atom

---

No. 2
An optimized crystal structure of AlHgPO. Source: OQMD, functional PBE.

a b c (Å): 2.9551 7.1636 6.7021
angles (deg): 90.00 90.00 90.00
Space group Pmc2_1 (No. 26)
Inequivalent atoms, fractional coordinates:
Al  0.0000  0.1821  0.0000 x2
Hg  0.5000  0.3628  0.5551 x2
P  0.0000  0.1139  0.3441 x2
O  0.5000  0.2989  0.9367 x2

Calculated density ... 6.426 Mg/m³
Distance to the lowest polymorph of the same formula ... 157 meV/atom

---

No. 3
An optimized crystal structure of AlHgSeO. Source: OQMD, functional PBE.

a b c (Å): 3.7619 8.3680 5.6189
angles (deg): 90.00 90.00 90.00
Space group Pmc2_1 (No. 26)
Inequivalent atoms, fractional coordinates:
Al  0.0000  0.1048  0.0000 x2
Hg  0.5000  0.2997  0.5433 x2
Se  0.5000  0.2956  0.0457 x2
O  0.0000  0.0419  0.7102 x2

Calculated density ... 6.056 Mg/m³
Distance to the lowest polymorph of the same formula ... 31 meV/atom

---

No. 4
An optimized crystal structure of AlHgSeO. Source: OQMD, functional PBE.

a b c (Å): 5.2315 4.8638 12.6855
angles (deg): 90.00 96.20 90.00
Space group P2_1 (No. 4)
Inequivalent atoms, fractional coordinates:
Al  0.0472  0.0000  0.4391 x2
Al  0.4264  0.4971  0.4181 x2
Hg  0.0190  0.9593  0.8372 x2
Hg  0.3332  0.7370  0.0110 x2
Se  0.2679  0.6953  0.6906 x2
Se  0.3528  0.7838  0.2461 x2
O  0.1171  0.6411  0.4523 x2
O  0.3516  0.1666  0.4808 x2

Calculated density ... 6.676 Mg/m³
Distance to the lowest polymorph of the same formula ... 0 meV/atom

---

No. 5
An optimized crystal structure of AlHgSeO. Source: OQMD, functional PBE.

a b c (Å): 3.7206 3.7206 11.8318
angles (deg): 90.00 90.00 90.00
Space group P4/nmm (No. 129, origin choice 2)
Inequivalent atoms, fractional coordinates:
Al  0.2500  0.2500  0.0579 x2
Hg  0.2500  0.7500  0.5000 x2
Se  0.2500  0.2500  0.2545 x2
O  0.2500  0.7500  0.0000 x2

Calculated density ... 6.540 Mg/m³
Distance to the lowest polymorph of the same formula ... 224 meV/atom

---

No. 6
An optimized crystal structure of AlHgTeO. Source: OQMD, functional PBE.

a b c (Å): 4.0968 8.8038 5.8398
angles (deg): 90.00 90.00 90.00
Space group Pmc2_1 (No. 26)
Inequivalent atoms, fractional coordinates:
Al  0.0000  0.0946  0.0000 x2
Hg  0.5000  0.2901  0.5383 x2
Te  0.5000  0.2948  0.0384 x2
O  0.0000  0.0310  0.7229 x2

Calculated density ... 5.852 Mg/m³
Distance to the lowest polymorph of the same formula ... 0 meV/atom